Entry 1:
A plane-wave DFT calculation with PBE-GGA was carried out for a relaxed structure of ZnTeI2N.

abc: 5.706 5.706 5.345
angles: 90.00 90.00 90.00
Atoms (fractional coordinates):
Zn 0.000 0.000 0.000
Te 0.000 0.000 0.500
I 0.000 0.500 0.000
I 0.500 0.000 0.000
N 0.500 0.500 0.500

space group	P4/mmm
uncorrected formation energy	1.14	eV per atom
energy relative to the lowest polymorph listed for this composition	41.76	kJ per mole of atoms

***

Entry 2:
A plane-wave DFT calculation with PBE-GGA was carried out for a relaxed structure of ZnTe2IN.

abc: 5.294 5.294 5.325
angles: 90.00 90.00 90.00
Atoms (fractional coordinates):
Zn 0.000 0.000 0.000
Te 0.000 0.500 0.000
Te 0.500 0.000 0.000
I 0.000 0.000 0.500
N 0.500 0.500 0.500

space group	P4/mmm
uncorrected formation energy	1.62	eV per atom
energy relative to the lowest polymorph listed for this composition	76.48	kJ per mole of atoms